A relaxed structure of SbTe2PtRh, computed with PBE-GGA.

Output
symmetry: P4/mmm (123)
E_form (uncorrected): 1.198 eV/atom
excess energy over the best structure of this formula in the dataset: 559.4 meV/atom
density of states at the Fermi level: 7.2 states/eV/cell

Cell lengths 5.720, 5.720, 4.888 Å; angles 90.00, 90.00, 90.00 degrees
Fractional coordinates of all 5 atoms:
Sb (0.000, 0.000, 0.000)
Te (0.000, 0.500, 0.000)
Te (0.500, 0.000, 0.000)
Pt (0.000, 0.000, 0.500)
Rh (0.500, 0.500, 0.500)